Record 1
## LuMgSiAg (PBE)

Data for a geometry-optimized LuMgSiAg structure.

extended XYZ file:
```
16
Lattice="6.812 0.000 0.000 0.000 6.812 0.000 0.000 0.000 6.812" Properties=species:S:1:pos:R:3 pbc="T T T"
Lu 0.000 0.000 0.000
Lu 0.000 3.406 3.406
Lu 3.406 0.000 3.406
Lu 3.406 3.406 0.000
Mg 0.000 0.000 3.406
Mg 0.000 3.406 0.000
Mg 3.406 0.000 0.000
Mg 3.406 3.406 3.406
Si 1.703 1.703 5.109
Si 1.703 5.109 1.703
Si 5.109 1.703 1.703
Si 5.109 5.109 5.109
Ag 1.703 1.703 1.703
Ag 1.703 5.109 5.109
Ag 5.109 1.703 5.109
Ag 5.109 5.109 1.703
```

Computed properties:
Uncorrected formation energy (eV/atom): -0.304
D(E_F) (states/eV/cell): 6.356

=====

Record 2
## TeIr2Rh (PBE)

Data for a geometry-optimized TeIr2Rh structure.

extended XYZ file:
```
4
Lattice="2.956 0.000 0.000 0.000 3.858 0.000 0.000 0.000 5.798" Properties=species:S:1:pos:R:3 pbc="T T T"
Te 0.000 0.000 0.000
Ir 0.000 0.000 2.948
Ir 1.478 1.929 1.746
Rh 1.478 1.929 4.405
```

Computed properties:
Uncorrected formation energy (eV/atom): 0.314
D(E_F) (states/eV/cell): 3.854

=====

Record 3
## Cs2SiAg2Te4 (PBE)

Data for a geometry-optimized Cs2SiAg2Te4 structure.

extended XYZ file:
```
9
Lattice="6.633 -4.646 0.000 6.633 4.646 0.000 -2.370 0.000 5.268" Properties=species:S:1:pos:R:3 pbc="T T T"
Cs 0.850 0.000 1.995
Cs 10.047 0.000 3.273
Si 5.449 0.000 2.634
Ag 3.475 0.000 4.121
Ag 7.422 0.000 1.148
Te 4.628 2.003 0.534
Te 6.269 2.003 4.735
Te 4.628 -2.003 0.534
Te 6.269 -2.003 4.735
```

Computed properties:
Uncorrected formation energy (eV/atom): -0.262
D(E_F) (states/eV/cell): 1.401

=====

Record 4
## AcEr2UO8 (PBE)

Data for a geometry-optimized AcEr2UO8 structure.

extended XYZ file:
```
12
Lattice="3.937 0.000 0.000 0.000 5.357 0.000 0.000 0.000 7.781" Properties=species:S:1:pos:R:3 pbc="T T T"
Ac 0.000 0.000 0.000
Er 1.969 2.678 2.105
Er 1.969 2.678 5.676
U 0.000 0.000 3.890
O 0.000 1.322 2.205
O 0.000 1.322 5.576
O 0.000 4.035 2.205
O 0.000 4.035 5.576
O 1.969 1.252 3.890
O 1.969 1.558 0.000
O 1.969 3.799 0.000
O 1.969 4.104 3.890
```

Computed properties:
Uncorrected formation energy (eV/atom): -3.256
D(E_F) (states/eV/cell): 1.366

=====

Record 5
## NpSeBrCl (PBE)

Data for a geometry-optimized NpSeBrCl structure.

extended XYZ file:
```
12
Lattice="4.714 0.000 0.000 -2.357 4.082 0.000 0.000 0.000 20.550" Properties=species:S:1:pos:R:3 pbc="T T T"
Np 0.000 0.000 0.000
Np 0.000 2.721 13.700
Np 2.357 1.361 6.850
Se 0.000 0.000 7.455
Se 0.000 2.721 0.605
Se 2.357 1.361 14.305
Br 0.000 0.000 2.714
Br 0.000 2.721 16.414
Br 2.357 1.361 9.564
Cl 0.000 0.000 12.433
Cl 0.000 2.721 5.583
Cl 2.357 1.361 19.283
```

Computed properties:
Uncorrected formation energy (eV/atom): -1.078
D(E_F) (states/eV/cell): 23.312

=====

Record 6
## AlCdRe2 (PBE)

Data for a geometry-optimized AlCdRe2 structure.

extended XYZ file:
```
4
Lattice="3.163 0.000 0.000 0.000 4.447 0.000 0.000 0.000 4.543" Properties=species:S:1:pos:R:3 pbc="T T T"
Al 0.000 0.000 0.000
Cd 1.582 2.224 0.000
Re 0.000 2.224 2.271
Re 1.582 0.000 2.271
```

Computed properties:
Energy of formation (eV per atom): 0.428
Excess energy over the best structure of this formula in the dataset (kcal/mol of atoms): 7.285
D(E_F) (states/eV/cell): 2.309

=====

Record 7
## LiPrCu2 (PBE)

Data for a geometry-optimized LiPrCu2 structure.

extended XYZ file:
```
12
Lattice="4.326 0.000 0.000 -2.163 3.747 0.000 0.000 0.000 14.370" Properties=species:S:1:pos:R:3 pbc="T T T"
Li 0.000 0.000 0.000
Li 0.000 2.498 9.580
Li 2.163 1.249 4.790
Pr 0.000 0.000 7.185
Pr 0.000 2.498 2.395
Pr 2.163 1.249 11.975
Cu 0.000 0.000 4.264
Cu 0.000 0.000 10.105
Cu 0.000 2.498 5.316
Cu 0.000 2.498 13.844
Cu 2.163 1.249 0.526
Cu 2.163 1.249 9.054
```

Computed properties:
Energy of formation (eV per atom): -0.107
Excess energy over the best structure of this formula in the dataset (kcal/mol of atoms): 0.000
D(E_F) (states/eV/cell): 7.441

=====

Record 8
## Ba2NaFe (PBE)

Data for a geometry-optimized Ba2NaFe structure.

extended XYZ file:
```
16
Lattice="8.099 0.000 0.000 0.000 8.099 0.000 0.000 0.000 8.099" Properties=species:S:1:pos:R:3 pbc="T T T"
Ba 2.025 2.025 2.025
Ba 2.025 2.025 6.074
Ba 2.025 6.074 2.025
Ba 2.025 6.074 6.074
Ba 6.074 2.025 2.025
Ba 6.074 2.025 6.074
Ba 6.074 6.074 2.025
Ba 6.074 6.074 6.074
Na 0.000 0.000 0.000
Na 0.000 4.049 4.049
Na 4.049 0.000 4.049
Na 4.049 4.049 0.000
Fe 0.000 0.000 4.049
Fe 0.000 4.049 0.000
Fe 4.049 0.000 0.000
Fe 4.049 4.049 4.049
```

Computed properties:
Energy of formation (eV per atom): 0.743
Excess energy over the best structure of this formula in the dataset (kcal/mol of atoms): 0.000
D(E_F) (states/eV/cell): 34.031

=====

Record 9
## DyHo2TmBi4 (PBE)

Data for a geometry-optimized DyHo2TmBi4 structure.

extended XYZ file:
```
8
Lattice="7.714 0.000 0.000 0.000 4.458 0.000 -2.571 0.000 7.273" Properties=species:S:1:pos:R:3 pbc="T T T"
Dy 0.000 0.000 0.000
Ho 2.572 0.000 3.637
Ho 3.857 2.229 0.000
Tm -1.285 2.229 3.637
Bi -0.003 0.000 5.442
Bi 1.282 2.229 1.829
Bi 3.861 2.229 5.444
Bi 5.146 0.000 1.831
```

Computed properties:
Energy of formation (eV per atom): -0.828
D(E_F) (states/eV/cell): 1.245

=====

Record 10
## RhW2Cl (PBE)

Data for a geometry-optimized RhW2Cl structure.

extended XYZ file:
```
4
Lattice="4.638 0.000 0.000 0.000 2.786 0.000 -1.923 0.000 4.879" Properties=species:S:1:pos:R:3 pbc="T T T"
Rh 0.000 0.000 0.000
W -0.961 0.000 2.439
W 2.319 1.393 0.000
Cl 1.358 1.393 2.439
```

Computed properties:
Uncorrected formation energy (eV/atom): 0.790
Excess energy over the best structure of this formula in the dataset (kcal/mol of atoms): 14.035
D(E_F) (states/eV/cell): 3.788

=====

Record 11
## GaCoRe3 (PBE)

Data for a geometry-optimized GaCoRe3 structure.

extended XYZ file:
```
5
Lattice="4.414 0.000 0.000 0.000 4.414 0.000 0.000 0.000 4.414" Properties=species:S:1:pos:R:3 pbc="T T T"
Ga 0.000 0.000 0.000
Co 2.207 2.207 2.207
Re 0.000 2.207 2.207
Re 2.207 0.000 2.207
Re 2.207 2.207 0.000
```

Computed properties:
Energy of formation (eV per atom): 1.611
Excess energy over the best structure of this formula in the dataset (kcal/mol of atoms): 0.000
D(E_F) (states/eV/cell): 5.408

=====

Record 12
## CoB2W (PBE)

Data for a geometry-optimized CoB2W structure.

extended XYZ file:
```
12
Lattice="3.316 0.000 0.000 -1.658 2.872 0.000 0.000 0.000 11.781" Properties=species:S:1:pos:R:3 pbc="T T T"
Co 0.000 0.000 0.000
Co 0.000 1.915 7.854
Co 1.658 0.957 3.927
B 0.000 0.000 3.348
B 0.000 0.000 8.433
B 0.000 1.915 4.506
B 0.000 1.915 11.202
B 1.658 0.957 0.579
B 1.658 0.957 7.275
W 0.000 0.000 5.890
W 0.000 1.915 1.963
W 1.658 0.957 9.817
```

Computed properties:
Energy of formation (eV per atom): -0.176
Excess energy over the best structure of this formula in the dataset (kcal/mol of atoms): 2.749
D(E_F) (states/eV/cell): 5.590

=====

Record 13
## PrP2Rh (PBE)

Data for a geometry-optimized PrP2Rh structure.

extended XYZ file:
```
16
Lattice="5.688 0.000 0.000 0.000 5.697 0.000 0.000 0.000 9.654" Properties=species:S:1:pos:R:3 pbc="T T T"
Pr 0.000 0.000 0.000
Pr 0.000 2.848 4.827
Pr 2.844 0.000 4.827
Pr 2.844 2.848 0.000
P 0.000 0.000 3.660
P 0.000 0.000 5.993
P 0.000 2.848 1.167
P 0.000 2.848 8.487
P 2.844 0.000 1.167
P 2.844 0.000 8.487
P 2.844 2.848 3.660
P 2.844 2.848 5.993
Rh 1.422 1.424 2.413
Rh 1.422 4.272 7.240
Rh 4.266 1.424 7.240
Rh 4.266 4.272 2.413
```

Computed properties:
Energy of formation (eV per atom): -1.009
D(E_F) (states/eV/cell): 9.823